Density functional theory data (meta-GGA SCAN) for CaBe2Co at its PBEsol-relaxed geometry.

Calculated values
calculated volume: 55.4 Å³ per cell
calculated total energy: -8.63 eV/atom
SG: Pm, No. 6

Cell: 2.7801 3.4715 5.8719 Å, 90.00 102.14 90.00°
Last column: nearest neighbours and their distance in Å.
Sites, in units of the cell vectors:
Be1 0.8061 0.0000 0.9558  2 Be 2.11, 4 Co 2.24-2.27
Be2 0.8893 0.5000 0.1649  2 Be 2.11, 2 Co 2.11-2.12
Ca1 0.5379 0.0000 0.4923  5 Be 2.67-2.92, 2 Ca 2.78
Co1 0.2667 0.5000 0.8871  6 Be 2.11-2.27

---

Density functional theory data (meta-GGA SCAN) for CaBeCo2 at its PBEsol-relaxed geometry.

Calculated values
calculated volume: 63.4 Å³ per cell
calculated total energy: -12.16 eV/atom
SG: R-3m, No. 166

Cell: 3.8398 3.8398 5.4399 Å, 69.33 69.33 60.00°
Last column: nearest neighbours and their distance in Å.
Sites, in units of the cell vectors:
Be1 0.5000 0.5000 0.5000  6 Co 2.23
Ca1 0.0000 0.0000 0.0000  2 Co 2.71
Co1 0.1816 0.1816 0.4552  3 Be 2.23, 3 Co 2.26
Co2 0.8184 0.8184 0.5448  3 Be 2.23, 3 Co 2.26

---

Density functional theory data (meta-GGA SCAN) for CaBe2Cr at its PBEsol-relaxed geometry.

Calculated values
calculated volume: 52.2 Å³ per cell
calculated total energy: -8.27 eV/atom
SG: R-3m, No. 166

Cell: 2.6162 2.6162 8.9416 Å, 81.59 81.59 60.00°
Last column: nearest neighbours and their distance in Å.
Sites, in units of the cell vectors:
Cr1 0.0000 0.0000 0.0000  6 Be 2.42, 6 Cr 2.62
Ca1 0.5000 0.5000 0.5000  6 Ca 2.62
Be1 0.2619 0.2619 0.2144  3 Cr 2.42, 6 Be 2.62
Be2 0.7381 0.7381 0.7856  3 Cr 2.42, 6 Be 2.62

---

Density functional theory data (meta-GGA SCAN) for CaBe2Cr at its PBEsol-relaxed geometry.

Calculated values
calculated volume: 52.2 Å³ per cell
calculated total energy: -8.45 eV/atom
SG: Cmmm, No. 65

Cell: 2.6144 4.4673 4.4673 Å, 90.31 90.00 90.00°
Last column: nearest neighbours and their distance in Å.
Sites, in units of the cell vectors:
Cr1 0.5000 0.5000 0.5000  8 Be 2.59, 2 Cr 2.61
Ca1 0.5000 0.0000 0.0000  8 Be 2.59, 2 Ca 2.61
Be1 0.0000 0.5000 0.0000  4 Ca 2.59, 4 Cr 2.59, 2 Be 2.61
Be2 0.0000 0.0000 0.5000  4 Cr 2.59, 4 Ca 2.59, 2 Be 2.61

---

Density functional theory data (meta-GGA SCAN) for CaBe2Cr at its PBEsol-relaxed geometry.

Calculated values
calculated volume: 51.8 Å³ per cell
calculated total energy: -8.53 eV/atom
SG: P4mm, No. 99

Cell: 2.6718 2.6718 7.2620 Å, 90.00 90.00 90.00°
Last column: nearest neighbours and their distance in Å.
Sites, in units of the cell vectors:
Cr1 0.5000 0.5000 0.8210  5 Be 2.40-2.54, 4 Cr 2.67
Ca1 0.0000 0.0000 0.4840  4 Ca 2.67, 4 Be 2.96
Be1 0.0000 0.0000 0.0239  4 Be 2.17, 4 Cr 2.40
Be2 0.5000 0.5000 0.1711  4 Be 2.17

---

Density functional theory data (meta-GGA SCAN) for CaBeCr at its PBEsol-relaxed geometry.

Calculated values
calculated volume: 71.9 Å³ per cell
calculated total energy: -9.58 eV/atom
SG: F-43m, No. 216

Cell: 4.6678 4.6678 4.6678 Å, 60.00 60.00 60.00°
Last column: nearest neighbours and their distance in Å.
Sites, in units of the cell vectors:
Cr1 0.0000 0.0000 0.0000  4 Ca 2.86
Ca1 0.7500 0.7500 0.7500  4 Cr 2.86, 4 Be 2.86
Be1 0.5000 0.5000 0.5000  4 Ca 2.86

---

Density functional theory data (meta-GGA SCAN) for CaBe2Cr at its PBEsol-relaxed geometry.

Calculated values
calculated volume: 61.4 Å³ per cell
calculated total energy: -8.75 eV/atom
SG: Immm, No. 71

Cell: 4.3179 4.4185 4.4185 Å, 62.48 60.75 60.75°
Last column: nearest neighbours and their distance in Å.
Sites, in units of the cell vectors:
Cr1 0.0000 0.5000 0.5000  4 Be 2.55
Ca1 0.5000 0.0000 0.0000  8 Be 2.67-2.77
Be1 0.2798 0.7202 0.7202  2 Cr 2.55, 4 Ca 2.67-2.77, 1 Be 2.73
Be2 0.7202 0.2798 0.2798  2 Cr 2.55, 4 Ca 2.67-2.77, 1 Be 2.73

---

Density functional theory data (meta-GGA SCAN) for CaBe2CrPd at its PBEsol-relaxed geometry.

Calculated values
calculated volume: 97.5 Å³ per cell
calculated total energy: -13.49 eV/atom
SG: P4/mmm, No. 123

Cell: 4.3722 4.3722 5.1003 Å, 90.00 90.00 90.00°
Last column: nearest neighbours and their distance in Å.
Sites, in units of the cell vectors:
Cr1 0.5000 0.5000 0.5000  4 Ca 3.09, 8 Be 3.36
Ca1 0.0000 0.0000 0.5000  2 Pd 2.55
Pd1 0.0000 0.0000 0.0000  4 Be 2.19
Be1 0.0000 0.5000 0.0000  2 Pd 2.19
Be2 0.5000 0.0000 0.0000  2 Pd 2.19

---

Density functional theory data (meta-GGA SCAN) for CaBeCu2 at its PBEsol-relaxed geometry.

Calculated values
calculated volume: 66.4 Å³ per cell
calculated total energy: -11.22 eV/atom
SG: R-3m, No. 166

Cell: 3.9409 3.9409 5.4354 Å, 68.74 68.74 60.00°
Last column: nearest neighbours and their distance in Å.
Sites, in units of the cell vectors:
Be1 0.0000 0.0000 0.0000  6 Cu 2.31
Ca1 0.5000 0.5000 0.5000  8 Cu 2.85-3.09
Cu1 0.6923 0.6923 0.9232  3 Be 2.31, 3 Cu 2.40
Cu2 0.3077 0.3077 0.0768  3 Be 2.31, 3 Cu 2.40

---

Density functional theory data (meta-GGA SCAN) for Ca3BeCu at its PBEsol-relaxed geometry.

Calculated values
calculated volume: 154.2 Å³ per cell
calculated total energy: -9.25 eV/atom
SG: Pm-3m, No. 221

Cell: 5.3629 5.3629 5.3629 Å, 90.00 90.00 90.00°
Last column: nearest neighbours and their distance in Å.
Sites, in units of the cell vectors:
Be1 0.5000 0.5000 0.5000  12 Ca 3.79
Ca1 0.0000 0.5000 0.0000  2 Cu 2.68
Ca2 0.0000 0.0000 0.5000  2 Cu 2.68
Ca3 0.5000 0.0000 0.0000  2 Cu 2.68
Cu1 0.0000 0.0000 0.0000  6 Ca 2.68

---

Density functional theory data (meta-GGA SCAN) for CaBeCu2 at its PBEsol-relaxed geometry.

Calculated values
calculated volume: 59.6 Å³ per cell
calculated total energy: -10.79 eV/atom
SG: I-4m2, No. 119

Cell: 4.0997 4.0997 4.5822 Å, 116.57 116.57 90.00°
Last column: nearest neighbours and their distance in Å.
Sites, in units of the cell vectors:
Be1 0.5000 0.5000 0.0000  4 Ca 2.71, 8 Cu 2.71-2.90
Ca1 0.2500 0.7500 0.5000  4 Be 2.71, 8 Cu 2.71-2.90
Cu1 0.0000 0.0000 0.0000  4 Cu 2.71, 4 Ca 2.71, 4 Be 2.90
Cu2 0.7500 0.2500 0.5000  4 Be 2.71, 4 Cu 2.71, 4 Ca 2.90

---

Density functional theory data (meta-GGA SCAN) for Ca4BeCu at its PBEsol-relaxed geometry.

Calculated values
calculated volume: 179.2 Å³ per cell
calculated total energy: -8.71 eV/atom
SG: F-43m, No. 216

Cell: 6.3278 6.3278 6.3278 Å, 60.00 60.00 60.00°
Last column: nearest neighbours and their distance in Å.
Sites, in units of the cell vectors:
Be1 0.0000 0.0000 0.0000  12 Ca 3.71, 4 Cu 3.87
Ca1 0.3749 0.3749 0.3749  6 Ca 3.16-3.17
Ca2 0.3749 0.3749 0.8753  6 Ca 3.16-3.17
Ca3 0.8753 0.3749 0.3749  6 Ca 3.16-3.17
Ca4 0.3749 0.8753 0.3749  6 Ca 3.16-3.17
Cu1 0.7500 0.7500 0.7500  12 Ca 3.71, 4 Be 3.87

---

> The lowest calculated volume belongs to which entry?

number 5